[1]
VASP calculation (GGA-PBE) on a relaxed structure of Y3Si3Ni2. Values from VASP.

## Properties
The mass density is 5.31 g cm⁻³. The space group is Cmcm. The calculation puts the total DFT energy (no corrections) at -0.24555 hartree per atom. As for the calculated volume: 292.74 Å³ per cell. The total magnetization is 0.0 μB/f.u.

```
&SYSTEM
  ibrav = 0, nat = 16, ntyp = 3
/
ATOMIC_SPECIES
Y 88.91 Y.upf
Si 28.09 Si.upf
Ni 58.69 Ni.upf
CELL_PARAMETERS angstrom
2.074 -5.084 0.000
2.074 5.084 0.000
0.000 0.000 13.883
ATOMIC_POSITIONS crystal
Y 0.089 0.911 0.610
Y 0.089 0.911 0.890
Y 0.371 0.629 0.750
Y 0.629 0.371 0.250
Y 0.911 0.089 0.110
Y 0.911 0.089 0.390
Si 0.328 0.672 0.250
Si 0.380 0.620 0.538
Si 0.380 0.620 0.962
Si 0.620 0.380 0.038
Si 0.620 0.380 0.462
Si 0.672 0.328 0.750
Ni 0.203 0.797 0.096
Ni 0.203 0.797 0.404
Ni 0.797 0.203 0.596
Ni 0.797 0.203 0.904
```

---

[2]
VASP calculation (GGA-PBE) on a relaxed structure of YSiNi2. Values from VASP.

## Properties
The mass density is 6.07 g cm⁻³. The space group is P2_1/m. The calculation puts the total DFT energy (no corrections) at -0.23690 hartree per atom. As for the calculated volume: 128.30 Å³ per cell. The total magnetization is 0.0 μB/f.u.

```
&SYSTEM
  ibrav = 0, nat = 8, ntyp = 3
/
ATOMIC_SPECIES
Y 88.91 Y.upf
Si 28.09 Si.upf
Ni 58.69 Ni.upf
CELL_PARAMETERS angstrom
5.193 0.000 0.000
0.000 3.978 0.000
-2.212 0.000 6.210
ATOMIC_POSITIONS crystal
Y 0.250 0.250 0.250
Y 0.750 0.750 0.750
Si 0.249 0.250 0.750
Si 0.751 0.750 0.250
Ni 0.152 0.750 0.550
Ni 0.349 0.750 0.950
Ni 0.651 0.250 0.050
Ni 0.848 0.250 0.450
```

---

[3]
VASP calculation (GGA-PBE) on a relaxed structure of YSi2Ni. Values from VASP.

## Properties
The mass density is 5.19 g cm⁻³. The space group is Cmcm. The calculation puts the total DFT energy (no corrections) at -0.24108 hartree per atom. As for the calculated volume: 130.39 Å³ per cell. The total magnetization is 0.0 μB/f.u.

```
&SYSTEM
  ibrav = 0, nat = 8, ntyp = 3
/
ATOMIC_SPECIES
Y 88.91 Y.upf
Si 28.09 Si.upf
Ni 58.69 Ni.upf
CELL_PARAMETERS angstrom
2.001 -8.216 0.000
2.001 8.216 0.000
0.000 0.000 3.965
ATOMIC_POSITIONS crystal
Y 0.105 0.895 0.750
Y 0.895 0.105 0.250
Si 0.250 0.750 0.250
Si 0.460 0.540 0.750
Si 0.540 0.460 0.250
Si 0.750 0.250 0.750
Ni 0.322 0.678 0.750
Ni 0.678 0.322 0.250
```

---

[4]
VASP calculation (GGA-PBE) on a relaxed structure of Y3Si3Ni. Values from VASP.

## Properties
The mass density is 4.93 g cm⁻³. The space group is C2/m. The calculation puts the total DFT energy (no corrections) at -0.24725 hartree per atom. As for the calculated volume: 275.94 Å³ per cell. The total magnetization is 0.0 μB/f.u.

```
&SYSTEM
  ibrav = 0, nat = 14, ntyp = 3
/
ATOMIC_SPECIES
Y 88.91 Y.upf
Si 28.09 Si.upf
Ni 58.69 Ni.upf
CELL_PARAMETERS angstrom
5.187 -2.097 0.000
5.187 2.097 0.000
-4.773 0.000 12.687
ATOMIC_POSITIONS crystal
Y 0.028 0.028 0.380
Y 0.103 0.103 0.922
Y 0.245 0.245 0.228
Y 0.755 0.755 0.772
Y 0.897 0.897 0.078
Y 0.972 0.972 0.620
Si 0.363 0.363 0.457
Si 0.388 0.388 0.924
Si 0.456 0.456 0.764
Si 0.544 0.544 0.236
Si 0.612 0.612 0.076
Si 0.637 0.637 0.543
Ni 0.255 0.255 0.595
Ni 0.745 0.745 0.405
```

---

[5]
VASP calculation (GGA-PBE) on a relaxed structure of YSi2Ni2. Values from VASP.

## Properties
The mass density is 5.81 g cm⁻³. The space group is I4/mmm. The calculation puts the total DFT energy (no corrections) at -0.24079 hartree per atom. As for the calculated volume: 74.98 Å³ per cell. The total magnetization is 0.0 μB/f.u.

```
&SYSTEM
  ibrav = 0, nat = 5, ntyp = 3
/
ATOMIC_SPECIES
Y 88.91 Y.upf
Si 28.09 Si.upf
Ni 58.69 Ni.upf
CELL_PARAMETERS angstrom
-1.983 1.983 4.767
1.983 -1.983 4.767
1.983 1.983 -4.767
ATOMIC_POSITIONS crystal
Y 0.000 0.000 0.000
Si 0.373 0.373 0.000
Si 0.627 0.627 0.000
Ni 0.250 0.750 0.500
Ni 0.750 0.250 0.500
```

---

[6]
VASP calculation (GGA-PBE) on a relaxed structure of YSiNi2. Values from VASP.

## Properties
The mass density is 6.20 g cm⁻³. The space group is Pmn2_1. The calculation puts the total DFT energy (no corrections) at -0.23392 hartree per atom. As for the calculated volume: 125.60 Å³ per cell. The total magnetization is 0.0 μB/f.u.

```
&SYSTEM
  ibrav = 0, nat = 8, ntyp = 3
/
ATOMIC_SPECIES
Y 88.91 Y.upf
Si 28.09 Si.upf
Ni 58.69 Ni.upf
CELL_PARAMETERS angstrom
3.967 0.000 0.000
0.000 5.808 0.000
0.000 0.000 5.451
ATOMIC_POSITIONS crystal
Y 0.000 0.098 0.000
Y 0.500 0.902 0.500
Si 0.000 0.608 0.209
Si 0.500 0.392 0.709
Ni 0.000 0.292 0.497
Ni 0.000 0.631 0.753
Ni 0.500 0.369 0.253
Ni 0.500 0.708 0.997
```

---

[7]
VASP calculation (GGA-PBE) on a relaxed structure of Y2Si5Ni3. Values from VASP.

## Properties
The mass density is 5.47 g cm⁻³. The space group is Ibam. The calculation puts the total DFT energy (no corrections) at -0.23769 hartree per atom. As for the calculated volume: 300.02 Å³ per cell. The total magnetization is 0.0 μB/f.u.

```
&SYSTEM
  ibrav = 0, nat = 20, ntyp = 3
/
ATOMIC_SPECIES
Y 88.91 Y.upf
Si 28.09 Si.upf
Ni 58.69 Ni.upf
CELL_PARAMETERS angstrom
-4.780 5.560 2.822
4.780 -5.560 2.822
4.780 5.560 -2.822
ATOMIC_POSITIONS crystal
Y 0.131 0.237 0.368
Y 0.369 0.737 0.106
Y 0.631 0.263 0.894
Y 0.869 0.763 0.632
Si 0.016 0.750 0.266
Si 0.107 0.652 0.760
Si 0.250 0.250 0.000
Si 0.393 0.152 0.545
Si 0.484 0.750 0.734
Si 0.516 0.250 0.266
Si 0.607 0.848 0.455
Si 0.750 0.750 0.000
Si 0.893 0.348 0.240
Si 0.984 0.250 0.734
Ni 0.134 0.888 0.022
Ni 0.250 0.750 0.500
Ni 0.366 0.388 0.754
Ni 0.634 0.612 0.246
Ni 0.750 0.250 0.500
Ni 0.866 0.112 0.978
```

---

[8]
VASP calculation (GGA-PBE) on a relaxed structure of Y6SiNi2. Values from VASP.

## Properties
The mass density is 5.21 g cm⁻³. The space group is P-62m. The calculation puts the total DFT energy (no corrections) at -0.23679 hartree per atom. As for the calculated volume: 216.58 Å³ per cell. The total magnetization is 0.0 μB/f.u.

```
&SYSTEM
  ibrav = 0, nat = 9, ntyp = 3
/
ATOMIC_SPECIES
Y 88.91 Y.upf
Si 28.09 Si.upf
Ni 58.69 Ni.upf
CELL_PARAMETERS angstrom
7.617 0.000 0.000
-3.809 6.597 0.000
0.000 0.000 4.310
ATOMIC_POSITIONS crystal
Y 0.000 0.270 0.000
Y 0.000 0.601 0.500
Y 0.270 0.000 0.000
Y 0.399 0.399 0.500
Y 0.601 0.000 0.500
Y 0.730 0.730 0.000
Si 0.000 0.000 0.500
Ni 0.333 0.667 0.000
Ni 0.667 0.333 0.000
```

---

[9]
VASP calculation (GGA-PBE) on a relaxed structure of Y6Si2Ni. Values from VASP.

## Properties
The mass density is 4.84 g cm⁻³. The space group is P-62m. The calculation puts the total DFT energy (no corrections) at -0.24170 hartree per atom. As for the calculated volume: 222.40 Å³ per cell. The total magnetization is 2.4 μB/f.u.

```
&SYSTEM
  ibrav = 0, nat = 9, ntyp = 3
/
ATOMIC_SPECIES
Y 88.91 Y.upf
Si 28.09 Si.upf
Ni 58.69 Ni.upf
CELL_PARAMETERS angstrom
7.846 0.000 0.000
-3.923 6.795 0.000
0.000 0.000 4.172
ATOMIC_POSITIONS crystal
Y 0.000 0.252 0.000
Y 0.000 0.589 0.500
Y 0.252 0.000 0.000
Y 0.411 0.411 0.500
Y 0.589 0.000 0.500
Y 0.748 0.748 0.000
Si 0.333 0.667 0.000
Si 0.667 0.333 0.000
Ni 0.000 0.000 0.500
```

---

[10]
VASP calculation (GGA-PBE) on a relaxed structure of ZrSi2Ni. Values from VASP.

## Properties
The mass density is 5.93 g cm⁻³. The space group is Pmn2_1. The calculation puts the total DFT energy (no corrections) at -0.25281 hartree per atom. As for the calculated volume: 115.37 Å³ per cell. The total magnetization is 0.0 μB/f.u.

```
&SYSTEM
  ibrav = 0, nat = 8, ntyp = 3
/
ATOMIC_SPECIES
Zr 91.22 Zr.upf
Si 28.09 Si.upf
Ni 58.69 Ni.upf
CELL_PARAMETERS angstrom
3.866 0.000 0.000
0.000 5.723 0.000
0.000 0.000 5.214
ATOMIC_POSITIONS crystal
Zr 0.000 0.090 0.000
Zr 0.500 0.910 0.500
Si 0.000 0.250 0.492
Si 0.000 0.639 0.274
Si 0.500 0.361 0.774
Si 0.500 0.750 0.992
Ni 0.000 0.599 0.771
Ni 0.500 0.401 0.271
```

---

[11]
VASP calculation (GGA-PBE) on a relaxed structure of Zr3Si3Ni2. Values from VASP.

## Properties
The mass density is 6.29 g cm⁻³. The space group is Cmcm. The calculation puts the total DFT energy (no corrections) at -0.27748 hartree per atom. As for the calculated volume: 250.85 Å³ per cell. The total magnetization is 0.0 μB/f.u.

```
&SYSTEM
  ibrav = 0, nat = 16, ntyp = 3
/
ATOMIC_SPECIES
Zr 91.22 Zr.upf
Si 28.09 Si.upf
Ni 58.69 Ni.upf
CELL_PARAMETERS angstrom
1.932 -4.980 0.000
1.932 4.980 0.000
0.000 0.000 13.036
ATOMIC_POSITIONS crystal
Zr 0.073 0.927 0.617
Zr 0.073 0.927 0.883
Zr 0.365 0.635 0.750
Zr 0.635 0.365 0.250
Zr 0.927 0.073 0.117
Zr 0.927 0.073 0.383
Si 0.339 0.661 0.250
Si 0.388 0.612 0.541
Si 0.388 0.612 0.959
Si 0.612 0.388 0.041
Si 0.612 0.388 0.459
Si 0.661 0.339 0.750
Ni 0.219 0.781 0.088
Ni 0.219 0.781 0.412
Ni 0.781 0.219 0.588
Ni 0.781 0.219 0.912
```

---

[12]
VASP calculation (GGA-PBE) on a relaxed structure of Zr3Si4Ni. Values from VASP.

## Properties
The mass density is 5.44 g cm⁻³. The space group is Pm. The calculation puts the total DFT energy (no corrections) at -0.26504 hartree per atom. As for the calculated volume: 135.78 Å³ per cell. The total magnetization is 0.0 μB/f.u.

```
&SYSTEM
  ibrav = 0, nat = 8, ntyp = 3
/
ATOMIC_SPECIES
Zr 91.22 Zr.upf
Si 28.09 Si.upf
Ni 58.69 Ni.upf
CELL_PARAMETERS angstrom
5.219 0.000 0.000
0.000 3.794 0.000
-0.303 0.000 6.858
ATOMIC_POSITIONS crystal
Zr 0.000 0.000 0.000
Zr 0.221 0.000 0.497
Zr 0.483 0.500 0.858
Si 0.235 0.500 0.225
Si 0.524 0.000 0.156
Si 0.722 0.000 0.600
Si 0.983 0.500 0.714
Ni 0.732 0.500 0.322
```